Entry 1:
Below is an optimized crystal structure of Ac2HfSe5, with properties calculated at the PBE level.

Unit cell a=7.413 b=7.413 c=6.806 alpha=122.97 beta=122.97 gamma=90.04
Fractional positions:
1 Se 0.705 0.705 0.410
2 Se 0.772 0.266 0.037
3 Se 0.266 0.772 0.037
4 Se 0.265 0.265 0.036
5 Se 0.771 0.771 0.036
6 Ac 0.761 0.261 0.522
7 Ac 0.261 0.761 0.522
8 Hf 0.977 0.977 0.953

Results
DOS(E_F)	0.0736	states/eV per atom
raw formation energy	-1.50	eV per atom
magnetic moment	0.000	μB/f.u.



Entry 2:
Below is an optimized crystal structure of Sr2Li2Nb, with properties calculated at the PBE level.

Unit cell a=8.012 b=8.012 c=4.845 alpha=90.00 beta=90.00 gamma=90.00
Each line ends with the local moment (μB).
Fractional positions:
1 Sr 0.186 0.686 0.500  0.01
2 Sr 0.314 0.186 0.500  0.02
3 Sr 0.814 0.314 0.500  0.01
4 Sr 0.686 0.814 0.500  0.02
5 Li 0.127 0.373 0.000  0.00
6 Li 0.873 0.627 0.000  0.00
7 Li 0.373 0.873 0.000  0.00
8 Li 0.627 0.127 0.000  0.00
9 Nb 0.000 0.000 0.000  2.39
10 Nb 0.500 0.500 0.000  2.39

Results
ΔE_f	0.5949	eV per atom
DOS(E_F)	0.6307	states/eV per atom
magnetic moment	3.344	μB/f.u.



Entry 3:
Below is an optimized crystal structure of TaMn3Al, with properties calculated at the PBE level.

Unit cell a=4.267 b=4.267 c=4.267 alpha=90.00 beta=90.00 gamma=90.00
Each line ends with the local moment (μB).
Fractional positions:
1 Ta 0.500 0.500 0.500  -0.88
2 Mn 0.500 0.000 0.000  1.88
3 Mn 0.000 0.500 0.000  2.27
4 Mn 0.000 0.000 0.500  2.27
5 Al 0.000 0.000 0.000  -0.09

Results
ΔE_f	1.0242	eV per atom
DOS(E_F)	0.8513	states/eV per atom
magnetic moment	5.042	μB/f.u.



Entry 4:
Below is an optimized crystal structure of Ca3ZnRu, with properties calculated at the PBE level.

Unit cell a=5.453 b=5.453 c=5.453 alpha=90.00 beta=90.00 gamma=90.00
Each line ends with the local moment (μB).
Fractional positions:
1 Ru 0.500 0.500 0.500  1.88
2 Ca 0.000 0.000 0.500  -0.01
3 Ca 0.500 0.000 0.000  0.00
4 Ca 0.000 0.500 0.000  0.00
5 Zn 0.000 0.000 0.000  0.04

Results
ΔE_f	0.7323	eV per atom
DOS(E_F)	0.6780	states/eV per atom
magnetic moment	1.965	μB/f.u.



Number 1: E above lowest polymorph 2.30 eV/f.u.. Number 2: E above lowest polymorph 0.00 eV/f.u.. Number 3: E above lowest polymorph 0.00 eV/f.u.. Number 4: E above lowest polymorph 2.53 eV/f.u..